[1]
# NaLiPb3 | Alexandria | GGA-PBE | relaxed
data_NaLiPb3
_chemical_formula_sum 'Na1 Li1 Pb3'
_cell_length_a 5.5704
_cell_length_b 5.5704
_cell_length_c 5.5704
_cell_angle_alpha 90.00
_cell_angle_beta 90.00
_cell_angle_gamma 90.00
_space_group_name_H-M_alt 'P m -3 m'
_space_group_IT_number 221
_space_group_name_Hall '-P 4 2 3'
loop_
_atom_site_label
_atom_site_fract_x
_atom_site_fract_y
_atom_site_fract_z
Na1 0.0000 0.0000 0.0000
Li1 0.5000 0.5000 0.5000
Pb1 0.0000 0.0000 0.5000
# Distance to the lowest polymorph of the same formula in meV/atom: 525

***

[2]
# Na2LiPb | Alexandria | GGA-PBE | relaxed
data_Na2LiPb
_chemical_formula_sum 'Na2 Li1 Pb1'
_cell_length_a 4.5085
_cell_length_b 4.5085
_cell_length_c 5.2234
_cell_angle_alpha 90.00
_cell_angle_beta 90.00
_cell_angle_gamma 90.00
_space_group_name_H-M_alt 'P 4/m m m'
_space_group_IT_number 123
_space_group_name_Hall '-P 4 2'
loop_
_atom_site_label
_atom_site_fract_x
_atom_site_fract_y
_atom_site_fract_z
Na1 0.0000 0.5000 0.0000
Li1 0.0000 0.0000 0.5000
Pb1 0.5000 0.5000 0.5000
# Distance to the lowest polymorph of the same formula in meV/atom: 63

***

[3]
# NaLiPb4 | Alexandria | GGA-PBE | relaxed
data_NaLiPb4
_chemical_formula_sum 'Na4 Li4 Pb16'
_cell_length_a 15.6048
_cell_length_b 7.7739
_cell_length_c 5.9658
_cell_angle_alpha 90.00
_cell_angle_beta 110.05
_cell_angle_gamma 90.00
_space_group_name_H-M_alt 'C 1 2/m 1'
_space_group_IT_number 12
loop_
_space_group_symop_operation_xyz
'x,y,z'
'-x,-y,-z'
'-x,y,-z'
'x,-y,z'
'x+1/2,y+1/2,z'
'-x+1/2,-y+1/2,-z'
'-x+1/2,y+1/2,-z'
'x+1/2,-y+1/2,z'
loop_
_atom_site_label
_atom_site_fract_x
_atom_site_fract_y
_atom_site_fract_z
Na1 0.2032 0.0000 0.1974
Li1 0.0042 0.5000 0.7324
Pb1 0.0000 0.1981 0.0000
Pb2 0.1200 0.2266 0.6057
Pb3 0.1769 0.5000 0.1788
# Distance to the lowest polymorph of the same formula in meV/atom: 0

***

[4]
# Na8LiPb2 | Alexandria | GGA-PBE | relaxed
data_Na8LiPb2
_chemical_formula_sum 'Na16 Li2 Pb4'
_cell_length_a 12.3115
_cell_length_b 12.0171
_cell_length_c 5.4289
_cell_angle_alpha 90.00
_cell_angle_beta 101.07
_cell_angle_gamma 90.00
_space_group_name_H-M_alt 'C 1 2/m 1'
_space_group_IT_number 12
loop_
_space_group_symop_operation_xyz
'x,y,z'
'-x,-y,-z'
'-x,y,-z'
'x,-y,z'
'x+1/2,y+1/2,z'
'-x+1/2,-y+1/2,-z'
'-x+1/2,y+1/2,-z'
'x+1/2,-y+1/2,z'
loop_
_atom_site_label
_atom_site_fract_x
_atom_site_fract_y
_atom_site_fract_z
Na1 0.0882 0.0000 0.2948
Na2 0.1102 0.2547 0.7698
Na3 0.2420 0.0000 0.8827
Li1 0.0000 0.5000 0.0000
Pb1 0.1272 0.5000 0.5487
# Distance to the lowest polymorph of the same formula in meV/atom: 31

***

[5]
# NaLi2Pb | Alexandria | GGA-PBE | relaxed
data_NaLi2Pb
_chemical_formula_sum 'Na4 Li8 Pb4'
_cell_length_a 7.0241
_cell_length_b 7.0241
_cell_length_c 7.0241
_cell_angle_alpha 90.00
_cell_angle_beta 90.00
_cell_angle_gamma 90.00
_space_group_name_H-M_alt 'F m -3 m'
_space_group_IT_number 225
_space_group_name_Hall '-F 4 2 3'
loop_
_atom_site_label
_atom_site_fract_x
_atom_site_fract_y
_atom_site_fract_z
Na1 0.0000 0.0000 0.0000
Li1 0.2500 0.2500 0.2500
Pb1 0.0000 0.0000 0.5000
# Distance to the lowest polymorph of the same formula in meV/atom: 0

***

[6]
# Na2LiPb | Alexandria | GGA-PBE | relaxed
data_Na2LiPb
_chemical_formula_sum 'Na8 Li4 Pb4'
_cell_length_a 7.5421
_cell_length_b 7.5421
_cell_length_c 7.5421
_cell_angle_alpha 90.00
_cell_angle_beta 90.00
_cell_angle_gamma 90.00
_space_group_name_H-M_alt 'F m -3 m'
_space_group_IT_number 225
_space_group_name_Hall '-F 4 2 3'
loop_
_atom_site_label
_atom_site_fract_x
_atom_site_fract_y
_atom_site_fract_z
Na1 0.2500 0.2500 0.2500
Li1 0.0000 0.0000 0.0000
Pb1 0.0000 0.0000 0.5000
# Distance to the lowest polymorph of the same formula in meV/atom: 57

***

[7]
# NaLi2Pb2 | Alexandria | GGA-PBE | relaxed
data_NaLi2Pb2
_chemical_formula_sum 'Na2 Li4 Pb4'
_cell_length_a 4.6567
_cell_length_b 15.4851
_cell_length_c 3.3062
_cell_angle_alpha 90.00
_cell_angle_beta 90.00
_cell_angle_gamma 90.00
_space_group_name_H-M_alt 'C m m m'
_space_group_IT_number 65
_space_group_name_Hall '-C 2 2'
loop_
_atom_site_label
_atom_site_fract_x
_atom_site_fract_y
_atom_site_fract_z
Na1 0.0000 0.0000 0.0000
Li1 0.0000 0.1986 0.0000
Pb1 0.0000 0.3690 0.5000
# Distance to the lowest polymorph of the same formula in meV/atom: 0

***

[8]
# Na2LiPb | Alexandria | GGA-PBE | relaxed
data_Na2LiPb
_chemical_formula_sum 'Na2 Li1 Pb1'
_cell_length_a 4.0769
_cell_length_b 4.0769
_cell_length_c 6.6467
_cell_angle_alpha 90.00
_cell_angle_beta 90.00
_cell_angle_gamma 90.00
_space_group_name_H-M_alt 'P 4/m m m'
_space_group_IT_number 123
_space_group_name_Hall '-P 4 2'
loop_
_atom_site_label
_atom_site_fract_x
_atom_site_fract_y
_atom_site_fract_z
Na1 0.0000 0.0000 0.2464
Li1 0.5000 0.5000 0.5000
Pb1 0.5000 0.5000 0.0000
# Distance to the lowest polymorph of the same formula in meV/atom: 97

***

[9]
# NaLi2Pb | Alexandria | GGA-PBE | relaxed
data_NaLi2Pb
_chemical_formula_sum 'Na1 Li2 Pb1'
_cell_length_a 3.6639
_cell_length_b 3.6639
_cell_length_c 7.2411
_cell_angle_alpha 90.00
_cell_angle_beta 90.00
_cell_angle_gamma 90.00
_space_group_name_H-M_alt 'P 4/m m m'
_space_group_IT_number 123
_space_group_name_Hall '-P 4 2'
loop_
_atom_site_label
_atom_site_fract_x
_atom_site_fract_y
_atom_site_fract_z
Na1 0.0000 0.0000 0.0000
Li1 0.5000 0.5000 0.2895
Pb1 0.0000 0.0000 0.5000
# Distance to the lowest polymorph of the same formula in meV/atom: 81

***

[10]
# Na3LiPb | Alexandria | GGA-PBE | relaxed
data_Na3LiPb
_chemical_formula_sum 'Na12 Li4 Pb4'
_cell_length_a 9.3220
_cell_length_b 6.3863
_cell_length_c 10.4228
_cell_angle_alpha 90.00
_cell_angle_beta 105.59
_cell_angle_gamma 90.00
_space_group_name_H-M_alt 'P 1 2/c 1'
_space_group_IT_number 13
loop_
_space_group_symop_operation_xyz
'x,y,z'
'-x,-y,-z'
'-x,y,-z+1/2'
'x,-y,z+1/2'
loop_
_atom_site_label
_atom_site_fract_x
_atom_site_fract_y
_atom_site_fract_z
Na1 0.0008 0.2339 0.4125
Na2 0.2008 0.2720 0.7969
Na3 0.3822 0.4936 0.5905
Li1 0.3925 0.0079 0.0876
Pb1 0.3099 0.2100 0.3183
# Distance to the lowest polymorph of the same formula in meV/atom: 12

***

[11]
# NaLiPb | Alexandria | GGA-PBE | relaxed
data_NaLiPb
_chemical_formula_sum 'Na4 Li4 Pb4'
_cell_length_a 4.7495
_cell_length_b 4.7495
_cell_length_c 14.8561
_cell_angle_alpha 90.00
_cell_angle_beta 90.00
_cell_angle_gamma 90.00
_space_group_name_H-M_alt 'I 4/m m m'
_space_group_IT_number 139
_space_group_name_Hall '-I 4 2'
loop_
_atom_site_label
_atom_site_fract_x
_atom_site_fract_y
_atom_site_fract_z
Na1 0.0000 0.0000 0.1706
Li1 0.0000 0.5000 0.0000
Pb1 0.0000 0.0000 0.3937
# Distance to the lowest polymorph of the same formula in meV/atom: 44

***

[12]
## Na2Li4Pb5 (GGA-PBE)

Data for a relaxed Na2Li4Pb5 crystal.

CIF file:
```
data_Na2Li4Pb5
_chemical_formula_sum 'Na4 Li8 Pb10'
_cell_length_a 11.7317
_cell_length_b 6.5195
_cell_length_c 9.4207
_cell_angle_alpha 90.00
_cell_angle_beta 128.29
_cell_angle_gamma 90.00
_space_group_name_H-M_alt 'C 1 2/m 1'
_space_group_IT_number 12
loop_
_space_group_symop_operation_xyz
'x,y,z'
'-x,-y,-z'
'-x,y,-z'
'x,-y,z'
'x+1/2,y+1/2,z'
'-x+1/2,-y+1/2,-z'
'-x+1/2,y+1/2,-z'
'x+1/2,-y+1/2,z'
loop_
_atom_site_label
_atom_site_fract_x
_atom_site_fract_y
_atom_site_fract_z
Na1 0.0568 0.0000 0.2633
Li1 0.1003 0.5000 0.3664
Li2 0.2268 0.5000 0.9747
Pb1 0.0000 0.5000 0.0000
Pb2 0.1716 0.2445 0.6775
```

***

| no. | calculated formation energy (eV per atom) |
| --- | --- |
| 1 | 0.39 |
| 2 | -0.10 |
| 3 | -0.09 |
| 4 | 0.01 |
| 5 | -0.24 |
| 6 | -0.10 |
| 7 | -0.23 |
| 8 | -0.06 |
| 9 | -0.16 |
| 10 | -0.12 |
| 11 | -0.17 |
| 12 | -0.16 |